Entry 1:
# Pm2SmHo7 PBE relaxed
data_Pm2SmHo7
_chemical_formula_sum 'Pm2 Sm1 Ho7'
_cell_length_a 14.765
_cell_length_b 14.765
_cell_length_c 3.513
_cell_angle_alpha 90.00
_cell_angle_beta 90.00
_cell_angle_gamma 154.63
_space_group_name_H-M_alt 'P 1'
_space_group_IT_number 1
loop_
_space_group_symop_operation_xyz
'x,y,z'
loop_
_atom_site_label
_atom_site_type_symbol
_atom_site_fract_x
_atom_site_fract_y
_atom_site_fract_z
Pm1 Pm 0.208 0.792 0.000
Pm2 Pm 0.792 0.208 0.000
Sm1 Sm 0.500 0.500 0.500
Ho1 Ho 0.000 0.000 0.000
Ho2 Ho 0.154 0.351 0.000
Ho3 Ho 0.315 0.685 0.500
Ho4 Ho 0.351 0.154 0.000
Ho5 Ho 0.649 0.846 0.000
Ho6 Ho 0.685 0.315 0.500
Ho7 Ho 0.846 0.649 0.000
# * E above lowest polymorph: 111.8 meV/atom
# * calculated density: 8.071 g/cm³
# * space-group type: Cmmm (65)
# * ΔH_f (0 K): 164 meV per atom
# * crystal system: orthorhombic

***

Entry 2:
# PmSmHo6 PBE relaxed
data_PmSmHo6
_chemical_formula_sum 'Pm1 Sm1 Ho6'
_cell_length_a 6.070
_cell_length_b 6.070
_cell_length_c 8.517
_cell_angle_alpha 102.31
_cell_angle_beta 102.31
_cell_angle_gamma 67.56
_space_group_name_H-M_alt 'P 1'
_space_group_IT_number 1
loop_
_space_group_symop_operation_xyz
'x,y,z'
loop_
_atom_site_label
_atom_site_type_symbol
_atom_site_fract_x
_atom_site_fract_y
_atom_site_fract_z
Pm1 Pm 0.000 0.000 0.000
Sm1 Sm 0.000 0.000 0.500
Ho1 Ho 0.062 0.543 0.201
Ho2 Ho 0.374 0.374 0.575
Ho3 Ho 0.457 0.938 0.799
Ho4 Ho 0.543 0.062 0.201
Ho5 Ho 0.626 0.626 0.425
Ho6 Ho 0.938 0.457 0.799
# * E above lowest polymorph: 348.1 meV/atom
# * calculated density: 7.611 g/cm³
# * space-group type: C2/m (12)
# * ΔH_f (0 K): 369 meV per atom
# * crystal system: monoclinic

***

Entry 3:
# PmSm3Ho4 PBE relaxed
data_PmSm3Ho4
_chemical_formula_sum 'Pm2 Sm6 Ho8'
_cell_length_a 11.442
_cell_length_b 7.298
_cell_length_c 6.293
_cell_angle_alpha 90.00
_cell_angle_beta 90.00
_cell_angle_gamma 90.00
_space_group_name_H-M_alt 'P 1'
_space_group_IT_number 1
loop_
_space_group_symop_operation_xyz
'x,y,z'
loop_
_atom_site_label
_atom_site_type_symbol
_atom_site_fract_x
_atom_site_fract_y
_atom_site_fract_z
Pm1 Pm 0.000 0.127 0.000
Pm2 Pm 0.500 0.873 0.500
Sm1 Sm 0.000 0.873 0.499
Sm2 Sm 0.250 0.128 0.334
Sm3 Sm 0.250 0.872 0.834
Sm4 Sm 0.500 0.127 0.999
Sm5 Sm 0.750 0.128 0.334
Sm6 Sm 0.750 0.872 0.834
Ho1 Ho 0.000 0.378 0.501
Ho2 Ho 0.000 0.622 0.001
Ho3 Ho 0.250 0.378 0.833
Ho4 Ho 0.250 0.622 0.333
Ho5 Ho 0.500 0.378 0.501
Ho6 Ho 0.500 0.622 0.001
Ho7 Ho 0.750 0.378 0.833
Ho8 Ho 0.750 0.622 0.333
# * E above lowest polymorph: 3.6 meV/atom
# * calculated density: 7.936 g/cm³
# * space-group type: Pmn2_1 (31)
# * ΔH_f (0 K): 22 meV per atom
# * crystal system: orthorhombic

***

Entry 4:
# Pm2Sm2Ho3 PBE relaxed
data_Pm2Sm2Ho3
_chemical_formula_sum 'Pm4 Sm4 Ho6'
_cell_length_a 6.412
_cell_length_b 12.551
_cell_length_c 6.919
_cell_angle_alpha 90.00
_cell_angle_beta 122.50
_cell_angle_gamma 90.00
_space_group_name_H-M_alt 'P 1'
_space_group_IT_number 1
loop_
_space_group_symop_operation_xyz
'x,y,z'
loop_
_atom_site_label
_atom_site_type_symbol
_atom_site_fract_x
_atom_site_fract_y
_atom_site_fract_z
Pm1 Pm 0.085 0.114 0.436
Pm2 Pm 0.085 0.386 0.936
Pm3 Pm 0.915 0.614 0.064
Pm4 Pm 0.915 0.886 0.564
Sm1 Sm 0.497 0.209 0.335
Sm2 Sm 0.497 0.291 0.835
Sm3 Sm 0.503 0.709 0.165
Sm4 Sm 0.503 0.791 0.665
Ho1 Ho 0.084 0.613 0.649
Ho2 Ho 0.084 0.887 0.149
Ho3 Ho 0.500 0.000 0.000
Ho4 Ho 0.500 0.500 0.500
Ho5 Ho 0.916 0.113 0.851
Ho6 Ho 0.916 0.387 0.351
# * E above lowest polymorph: 24.3 meV/atom
# * calculated density: 7.677 g/cm³
# * space-group type: P2_1/c (14)
# * ΔH_f (0 K): 154 meV per atom
# * crystal system: monoclinic